Record 1
6
Lattice="3.487 0.000 0.000 0.000 3.487 0.000 0.000 0.000 12.374" Properties=species:S:1:pos:R:3 comment="GGA-PBE SmPuU, relaxed" total_energy_ev_per_atom=-9.851 delta_e_f_ev_per_atom=0.2619 magnetic_moment_mub_per_cell=7.75 crystal_system=tetragonal polymorph_energy_mev_per_atom=144.4 pbc="T T T"
Sm 0.000 0.000 0.000
Sm 1.744 1.744 6.187
Pu 0.000 0.000 3.599
Pu 1.744 1.744 9.785
U 0.000 0.000 8.858
U 1.744 1.744 2.671

=====

Record 2
6
Lattice="0.000 3.770 3.770 3.770 0.000 3.770 3.770 3.770 0.000" Properties=species:S:1:pos:R:3 comment="GGA-PBE SmPuV4, relaxed" total_energy_ev_per_atom=-8.880 delta_e_f_ev_per_atom=0.3739 magnetic_moment_mub_per_cell=4.09 crystal_system=cubic pbc="T T T"
Sm 0.000 0.000 0.000
Pu 1.885 1.885 1.885
V 4.693 2.848 2.848
V 2.848 4.693 2.848
V 2.848 2.848 4.693
V 4.693 4.693 4.693

=====

Record 3
14
Lattice="-5.021 5.021 4.668 5.021 -5.021 4.668 5.021 5.021 -4.668" Properties=species:S:1:pos:R:3 comment="GGA-PBE Sm8Y5Pu, relaxed" total_energy_ev_per_atom=-5.762 delta_e_f_ev_per_atom=0.2674 magnetic_moment_mub_per_cell=4.69 crystal_system=tetragonal pbc="T T T"
Sm 2.478 -1.501 2.755
Sm 0.422 3.431 0.507
Sm 2.543 6.522 -1.913
Sm 3.520 2.543 1.913
Sm -0.422 6.612 0.507
Sm -1.591 4.599 4.161
Sm 1.501 2.478 6.581
Sm 1.591 5.443 4.161
Y 0.000 0.000 0.000
Y 4.213 3.425 -1.203
Y 0.808 1.597 3.465
Y 1.597 -0.808 5.871
Y 3.425 5.830 1.203
Pu 5.021 0.000 2.334

=====

Record 4
13
Lattice="5.523 3.189 4.490 -5.523 3.189 4.490 0.000 -6.377 4.490" Properties=species:S:1:pos:R:3 comment="GGA-PBE Sm4Y8Pu, relaxed" total_energy_ev_per_atom=-5.998 delta_e_f_ev_per_atom=0.5343 magnetic_moment_mub_per_cell=7.13 crystal_system=trigonal pbc="T T T"
Sm 0.000 0.000 0.000
Sm -2.761 -1.594 4.490
Sm -2.761 1.594 8.979
Sm 0.000 3.189 4.490
Y 0.000 -3.262 5.575
Y -2.825 1.631 5.575
Y 0.000 0.000 3.285
Y -2.825 -1.631 7.893
Y 2.825 1.631 5.575
Y 0.000 0.000 10.184
Y 2.825 -1.631 7.893
Y 0.000 3.262 7.893
Pu 0.000 0.000 6.734